No. 1
A relaxed structure of BeP2Au, computed with PBE.

Computed properties:
formation enthalpy at 0 K = 0.17 eV/atom

Unit cell a=3.8847 b=3.1581 c=5.5076 alpha=90.00 beta=95.20 gamma=90.00
Space group Pm (No. 6)
One atom of each set of equivalent atoms:
Be 0.0000 0.0000 0.0000 [1 per cell]
P 0.4289 0.5000 0.0496 [1 per cell]
P 0.6995 0.0000 0.3068 [1 per cell]
Au 0.7308 0.5000 0.6806 [1 per cell]

=====

No. 2
A relaxed structure of BeP2Au, computed with PBE.

Computed properties:
formation enthalpy at 0 K = 0.08 eV/atom

Unit cell a=7.4593 b=3.6880 c=5.4076 alpha=90.00 beta=107.87 gamma=90.00
Space group Cm (No. 8)
One atom of each set of equivalent atoms:
Be 0.0000 0.0000 0.0000 [2 per cell]
P 0.4891 0.0000 0.4135 [2 per cell]
P 0.4907 0.0000 0.8126 [2 per cell]
Au 0.2718 0.5000 0.2215 [2 per cell]